Entry 1:
This record from Alexandria via LeMat-Bulk describes a geometry-optimized Ta3CoN structure. The functional is PBE.

a b c (Å): 4.533 4.533 4.533
angles (deg): 90.00 90.00 90.00
Space group Pm-3m (No. 221)
Asymmetric unit:
Ta1 0.000 0.000 0.500 (multiplicity 3)
Co1 0.000 0.000 0.000 (multiplicity 1)
N1 0.500 0.500 0.500 (multiplicity 1)

Output
energy relative to the elements, uncorrected: 1729 meV/atom
total magnetization: 0.00 μB per formula unit

***

Entry 2:
This record from Alexandria via LeMat-Bulk describes a geometry-optimized LiCoN2 structure. The functional is PBE.

a b c (Å): 2.8095 2.8095 17.4986
angles (deg): 90.00 90.00 120.00
Space group R-3m (No. 166, hexagonal axes)
Asymmetric unit:
Li1 0.0000 0.0000 0.0000 (multiplicity 3)
Co1 0.0000 0.0000 0.5000 (multiplicity 3)
N1 0.0000 0.0000 0.1068 (multiplicity 6)

Output
energy relative to the elements, uncorrected: 427 meV/atom
distance to the lowest polymorph of the same formula: 0.319 eV/atom
total magnetization: 1.14 μB per formula unit